# LiPuZn

A relaxed structure of LiPuZn (GGA-PBE, Alexandria).

The structure in POSCAR format:
```
LiPuZn
1.0
0.000 4.545 5.310
2.589 0.000 5.310
2.589 4.545 0.000
Li Pu Zn
2 2 2
Direct
0.157 0.157 0.843
0.843 0.843 0.157
0.337 0.663 0.337
0.663 0.337 0.663
0.250 0.250 0.250
0.750 0.750 0.750
```

Properties
* DFT total energy: -5.747 eV/atom
* energy above the most stable polymorph in this dataset: 0.25 eV per formula unit
* symmetry: Fmmm (69)
* spin magnetization: 12.121 Bohr magnetons per cell



# Sc2Co

A relaxed structure of Sc2Co (GGA-PBE, Alexandria).

The structure in POSCAR format:
```
Sc2Co
1.0
6.183 0.000 0.000
0.000 6.183 0.000
0.000 0.000 6.183
Sc Co
8 4
Direct
0.162 0.162 0.162
0.162 0.338 0.662
0.338 0.662 0.162
0.338 0.838 0.662
0.662 0.162 0.338
0.662 0.338 0.838
0.838 0.662 0.338
0.838 0.838 0.838
0.000 0.000 0.500
0.000 0.500 0.000
0.500 0.000 0.000
0.500 0.500 0.500
```

Properties
* DFT total energy: -6.764 eV/atom
* symmetry: Pa-3 (205)
* spin magnetization: 0.000 Bohr magnetons per cell



# IrS4

A relaxed structure of IrS4 (GGA-PBE, Alexandria).

The structure in POSCAR format:
```
IrS4
1.0
7.293 0.000 0.000
0.000 4.676 0.000
-1.174 0.000 6.444
Ir S
2 8
Direct
0.000 0.000 0.000
0.000 0.500 0.500
0.170 0.172 0.747
0.170 0.328 0.247
0.247 0.681 0.095
0.247 0.819 0.595
0.753 0.181 0.405
0.753 0.319 0.905
0.830 0.672 0.753
0.830 0.828 0.253
```

Properties
* formation energy without anion corrections: -0.19 eV per atom
* DFT total energy: -5.263 eV/atom
* energy above the most stable polymorph in this dataset: 0.00 eV per formula unit
* symmetry: P2_1/c (14)
* spin magnetization: 0.000 Bohr magnetons per cell